[1]
The following is a DFT calculation (PBE) of a relaxed TcOs4W crystal.

formation enthalpy at 0 K: 3.19 eV/f.u.

a = 7.1952 Å, b = 7.1952 Å, c = 7.1952 Å
α = 90.00°, β = 90.00°, γ = 90.00°
Last column: nearest neighbours and their distance in Å.
Space group F-43m (No. 216)
One atom of each set of equivalent atoms:
Tc 0.0000 0.0000 0.0000 [4 per cell]  12 Os 2.98, 4 W 3.12
Os 0.1252 0.1252 0.3748 [16 per cell]  6 Os 2.54-2.55
W 0.2500 0.2500 0.7500 [4 per cell]  12 Os 2.98, 4 Tc 3.12

***

[2]
The following is a DFT calculation (PBE) of a relaxed Ca2CuH12Rh3 crystal.

a = 6.2301 Å, b = 6.2301 Å, c = 14.1078 Å
α = 90.00°, β = 90.00°, γ = 120.00°
Last column: nearest neighbours and their distance in Å.
Space group R-3m (No. 166, hexagonal axes)
One atom of each set of equivalent atoms:
Ca 0.0000 0.0000 0.1309 [6 per cell]  6 H 2.31-2.48
Cu 0.0000 0.0000 0.5000 [3 per cell]  6 H 1.76
H 0.0331 0.5165 0.1178 [18 per cell]  1 Rh 1.67, 1 Cu 1.76
H 0.0375 0.5188 0.3598 [18 per cell]  2 Rh 1.75
Rh 0.0000 0.5000 0.0000 [9 per cell]  6 H 1.67-1.75

***

[3]
The following is a DFT calculation (PBE) of a relaxed Co2Ag crystal.

formation enthalpy at 0 K: 3.67 eV/f.u.

a = 5.9025 Å, b = 5.9025 Å, c = 5.9025 Å
α = 90.00°, β = 90.00°, γ = 90.00°
Last column: nearest neighbours and their distance in Å.
Space group Pa-3 (No. 205)
One atom of each set of equivalent atoms:
Co 0.1044 0.1044 0.1044 [8 per cell]  1 Co 2.13
Ag 0.0000 0.0000 0.5000 [4 per cell]  6 Co 2.49

***

[4]
The following is a DFT calculation (PBE) of a relaxed LiFeCo crystal.

formation enthalpy at 0 K: 0.48 eV/f.u.

a = 2.3905 Å, b = 3.9252 Å, c = 7.3735 Å
α = 90.00°, β = 90.00°, γ = 90.00°
Last column: nearest neighbours and their distance in Å.
Space group Imm2 (No. 44)
One atom of each set of equivalent atoms:
Li 0.0000 0.0000 0.0000 [2 per cell]  2 Li 2.39, 5 Fe 2.43-2.62, 5 Co 2.45-2.61
Fe 0.0000 0.0000 0.3302 [2 per cell]  2 Fe 2.39, 5 Li 2.43-2.62, 5 Co 2.49-2.59
Co 0.0000 0.0000 0.6680 [2 per cell]  2 Co 2.39, 5 Li 2.45-2.61, 5 Fe 2.49-2.59

***

[5]
The following is a DFT calculation (PBE) of a relaxed KCo2Cu crystal.

formation enthalpy at 0 K: 4.26 eV/f.u.

a = 5.2966 Å, b = 9.3707 Å, c = 2.5477 Å
α = 90.00°, β = 90.00°, γ = 90.00°
Last column: nearest neighbours and their distance in Å.
Space group Cmmm (No. 65)
One atom of each set of equivalent atoms:
K 0.0000 0.0000 0.0000 [2 per cell]  2 K 2.55, 2 Cu 2.65
Co 0.2500 0.2500 0.5000 [4 per cell]  4 Co 2.55-2.65
Cu 0.0000 0.5000 0.0000 [2 per cell]  2 Cu 2.55, 2 K 2.65

***

[6]
The following is a DFT calculation (PBE) of a relaxed Mg4MnIr crystal.

formation enthalpy at 0 K: 1.99 eV/f.u.

a = 7.5667 Å, b = 7.5667 Å, c = 7.5667 Å
α = 90.00°, β = 90.00°, γ = 90.00°
Last column: nearest neighbours and their distance in Å.
Space group F-43m (No. 216)
One atom of each set of equivalent atoms:
Mg 0.1254 0.1254 0.1254 [16 per cell]  6 Mg 2.67-2.68
Mn 0.2500 0.2500 0.7500 [4 per cell]  12 Mg 3.14, 4 Ir 3.28
Ir 0.0000 0.0000 0.5000 [4 per cell]  12 Mg 3.14, 4 Mn 3.28

***

[7]
The following is a DFT calculation (PBE) of a relaxed Sr3NbC crystal.

formation enthalpy at 0 K: 10.19 eV/f.u.

a = 5.8387 Å, b = 5.8387 Å, c = 5.8387 Å
α = 90.00°, β = 90.00°, γ = 90.00°
Last column: nearest neighbours and their distance in Å.
Space group Pm-3m (No. 221)
One atom of each set of equivalent atoms:
Sr 0.0000 0.0000 0.5000 [3 per cell]  2 Nb 2.92
Nb 0.0000 0.0000 0.0000 [1 per cell]  6 Sr 2.92
C 0.5000 0.5000 0.5000 [1 per cell]  12 Sr 4.13

***

[8]
The following is a DFT calculation (PBE) of a relaxed Zn2PRh crystal.

formation enthalpy at 0 K: 0.07 eV/f.u.

a = 2.8348 Å, b = 2.8348 Å, c = 7.4663 Å
α = 90.00°, β = 90.00°, γ = 90.00°
Last column: nearest neighbours and their distance in Å.
Space group P4/mmm (No. 123)
One atom of each set of equivalent atoms:
Zn 0.0000 0.0000 0.2277 [2 per cell]  4 Rh 2.63, 4 Zn 2.83, 4 P 2.86
P 0.5000 0.5000 0.5000 [1 per cell]  4 P 2.83, 8 Zn 2.86
Rh 0.5000 0.5000 0.0000 [1 per cell]  8 Zn 2.63, 4 Rh 2.83

***

[9]
The following is a DFT calculation (PBE) of a relaxed Rb2GeAs crystal.

formation enthalpy at 0 K: 1.23 eV/f.u.

a = 8.2744 Å, b = 8.2744 Å, c = 8.2744 Å
α = 90.00°, β = 90.00°, γ = 90.00°
Last column: nearest neighbours and their distance in Å.
Space group Fm-3m (No. 225)
One atom of each set of equivalent atoms:
Rb 0.2500 0.2500 0.2500 [8 per cell]  4 Ge 3.58, 4 As 3.58
Ge 0.0000 0.0000 0.0000 [4 per cell]  8 Rb 3.58
As 0.0000 0.0000 0.5000 [4 per cell]  8 Rb 3.58

***

[10]
The following is a DFT calculation (PBE) of a relaxed TlInAgCl3 crystal.

formation energy without anion corrections: -0.73 eV/atom

a = 9.3038 Å, b = 4.4715 Å, c = 9.3364 Å
α = 90.00°, β = 95.29°, γ = 90.00°
Last column: nearest neighbours and their distance in Å.
Space group P2_1/m (No. 11)
One atom of each set of equivalent atoms:
Tl 0.1626 0.2500 0.1620 [2 per cell]  5 Cl 3.16-3.22
In 0.1371 0.2500 0.5456 [2 per cell]  3 Cl 2.70-2.85
Ag 0.4088 0.7500 0.8529 [2 per cell]  2 Cl 2.48-2.51
Cl 0.0848 0.2500 0.8255 [2 per cell]  1 In 2.70
Cl 0.3257 0.7500 0.5932 [2 per cell]  1 Ag 2.48
Cl 0.3974 0.7500 0.1209 [2 per cell]  1 Ag 2.51

***

[11]
The following is a DFT calculation (PBE) of a relaxed HoThFeTc crystal.

formation enthalpy at 0 K: 0.15 eV/f.u.

a = 6.9126 Å, b = 6.9126 Å, c = 6.9126 Å
α = 90.00°, β = 90.00°, γ = 90.00°
Last column: nearest neighbours and their distance in Å.
Space group F-43m (No. 216)
One atom of each set of equivalent atoms:
Ho 0.0000 0.0000 0.0000 [4 per cell]  4 Fe 2.99, 4 Tc 2.99
Th 0.0000 0.0000 0.5000 [4 per cell]  4 Fe 2.99, 4 Tc 2.99
Fe 0.2500 0.2500 0.7500 [4 per cell]  4 Th 2.99, 4 Ho 2.99
Tc 0.2500 0.2500 0.2500 [4 per cell]  4 Th 2.99, 4 Ho 2.99

***

[12]
The following is a DFT calculation (PBE) of a relaxed CuPbBr2 crystal.

formation energy without anion corrections: -0.28 eV/atom

a = 3.7189 Å, b = 5.1174 Å, c = 12.6741 Å
α = 90.00°, β = 90.00°, γ = 90.00°
Last column: nearest neighbours and their distance in Å.
Space group Immm (No. 71)
One atom of each set of equivalent atoms:
Cu 0.0000 0.0000 0.0000 [2 per cell]  4 Br 2.61
Pb 0.0000 0.0000 0.5000 [2 per cell]  4 Br 3.14, 4 Cu 3.16
Br 0.0000 0.5000 0.3557 [4 per cell]  2 Cu 2.61

***

Number 1: E_tot -10.842 eV per atom, total magnetization 0.000 μB/f.u.. Number 2: E_tot -4.182 eV per atom, total magnetization 0.000 μB/f.u.. Number 3: E_tot -4.463 eV per atom, total magnetization 3.807 μB/f.u.. Number 4: E_tot -5.666 eV per atom, total magnetization 4.074 μB/f.u.. Number 5: E_tot -3.787 eV per atom, total magnetization 3.190 μB/f.u.. Number 6: E_tot -3.736 eV per atom, total magnetization 4.109 μB/f.u.. Number 7: E_tot -2.830 eV per atom, total magnetization 1.000 μB/f.u.. Number 8: E_tot -3.810 eV per atom, total magnetization 0.000 μB/f.u.. Number 9: E_tot -2.493 eV per atom, total magnetization 1.000 μB/f.u.. Number 10: E_tot -2.983 eV per atom, total magnetization 0.000 μB/f.u.. Number 11: E_tot -7.670 eV per atom, total magnetization 1.628 μB/f.u.. Number 12: E_tot -3.070 eV per atom, total magnetization 0.000 μB/f.u..